A plane-wave DFT calculation with GGA-PBE was carried out for a relaxed structure of YScSb2.

Results
Space group   Cmmm (65)
Calculated volume   104.2 Å³/cell
Formation energy from raw total energies   -76.2 kJ per mole of atoms
E above lowest polymorph   254 meV per atom

Lattice parameters (Å, degrees): 3.681 3.681 7.941 90.00 90.00 104.51
Sites, in units of the cell vectors:
Y (0.000, 0.000, 0.000)
Sc (0.000, 0.000, 0.500)
Sb (0.500, 0.500, 0.262)
Sb (0.500, 0.500, 0.738)

A plane-wave DFT calculation with GGA-PBE was carried out for a relaxed structure of YScSb2.

Results
Space group   I-42d (122)
Calculated volume   311.1 Å³/cell
Formation energy from raw total energies   -51.6 kJ per mole of atoms
E above lowest polymorph   509 meV per atom

Lattice parameters (Å, degrees): 8.343 8.343 8.343 132.36 132.36 69.67
Sites, in units of the cell vectors:
Y (0.000, 0.000, 0.000)
Y (0.750, 0.250, 0.500)
Sc (0.250, 0.750, 0.500)
Sc (0.500, 0.500, 0.000)
Sb (0.146, 0.625, 0.021)
Sb (0.375, 0.396, 0.521)
Sb (0.604, 0.125, 0.979)
Sb (0.875, 0.854, 0.479)

A plane-wave DFT calculation with GGA-PBE was carried out for a relaxed structure of Y3ScSb4.

Results
Space group   Cmmm (65)
Calculated volume   230.9 Å³/cell
Formation energy from raw total energies   -105.8 kJ per mole of atoms

Lattice parameters (Å, degrees): 7.512 7.512 4.340 90.00 90.00 109.48
Sites, in units of the cell vectors:
Y (0.000, 0.000, 0.000)
Y (0.000, 0.500, 0.500)
Y (0.500, 0.000, 0.500)
Sc (0.500, 0.500, 0.000)
Sb (0.255, 0.745, 0.000)
Sb (0.260, 0.260, 0.500)
Sb (0.740, 0.740, 0.500)
Sb (0.745, 0.255, 0.000)

A plane-wave DFT calculation with GGA-PBE was carried out for a relaxed structure of Y3ScSb4.

Results
Space group   P2/c (13)
Calculated volume   462.0 Å³/cell
Formation energy from raw total energies   -105.9 kJ per mole of atoms

Lattice parameters (Å, degrees): 7.508 8.691 7.511 90.00 109.50 90.00
Sites, in units of the cell vectors:
Y (0.000, 0.124, 0.250)
Y (0.000, 0.374, 0.750)
Y (0.000, 0.626, 0.250)
Y (0.000, 0.876, 0.750)
Y (0.500, 0.374, 0.250)
Y (0.500, 0.626, 0.750)
Sc (0.500, 0.124, 0.750)
Sc (0.500, 0.876, 0.250)
Sb (0.255, 0.370, 0.505)
Sb (0.255, 0.630, 0.005)
Sb (0.261, 0.119, 0.000)
Sb (0.261, 0.881, 0.500)
Sb (0.739, 0.119, 0.500)
Sb (0.739, 0.881, 0.000)
Sb (0.745, 0.370, 0.995)
Sb (0.745, 0.630, 0.495)

A plane-wave DFT calculation with GGA-PBE was carried out for a relaxed structure of YScSb2.

Results
Space group   R3m (160)
Calculated volume   113.6 Å³/cell
Formation energy from raw total energies   -90.2 kJ per mole of atoms
E above lowest polymorph   109 meV per atom

Lattice parameters (Å, degrees): 7.645 7.645 7.645 32.32 32.32 32.32
Sites, in units of the cell vectors:
Y (0.000, 0.000, 0.000)
Sc (0.830, 0.830, 0.830)
Sb (0.418, 0.418, 0.418)
Sb (0.578, 0.578, 0.578)

A plane-wave DFT calculation with GGA-PBE was carried out for a relaxed structure of YScSb2.

Results
Space group   Imm2 (44)
Calculated volume   101.4 Å³/cell
Formation energy from raw total energies   -74.5 kJ per mole of atoms
E above lowest polymorph   272 meV per atom

Lattice parameters (Å, degrees): 6.202 6.202 6.202 139.37 138.74 59.29
Sites, in units of the cell vectors:
Y (0.000, 0.000, 0.000)
Sc (0.252, 0.752, 0.500)
Sb (0.493, 0.493, 0.000)
Sb (0.746, 0.246, 0.500)

A plane-wave DFT calculation with GGA-PBE was carried out for a relaxed structure of YScSb2.

Results
Space group   R3m (160)
Calculated volume   112.5 Å³/cell
Formation energy from raw total energies   -15.8 kJ per mole of atoms
E above lowest polymorph   881 meV per atom

Lattice parameters (Å, degrees): 11.248 11.248 11.248 17.51 17.51 17.51
Sites, in units of the cell vectors:
Y (0.000, 0.000, 0.000)
Sc (0.248, 0.248, 0.248)
Sb (0.510, 0.510, 0.510)
Sb (0.744, 0.744, 0.744)

A plane-wave DFT calculation with GGA-PBE was carried out for a relaxed structure of Y3ScSb.

Results
Space group   Pm-3m (221)
Calculated volume   184.9 Å³/cell
Formation energy from raw total energies   13.6 kJ per mole of atoms
E above lowest polymorph   0 meV per atom

Lattice parameters (Å, degrees): 5.697 5.697 5.697 90.00 90.00 90.00
Sites, in units of the cell vectors:
Y (0.000, 0.000, 0.500)
Y (0.000, 0.500, 0.000)
Y (0.500, 0.000, 0.000)
Sc (0.500, 0.500, 0.500)
Sb (0.000, 0.000, 0.000)

The highest formation energy from raw total energies belongs to which entry? Y3ScSb

Which of these has the highest calculated volume? number 4

The highest calculated volume belongs to which entry? number 4

Which of these has the lowest formation energy from raw total energies? number 4